1.
Computed, not measured: an optimized crystal structure of AcPmErHg at the PBE level of DFT.

Calculated values
Formation enthalpy at 0 K = 0.2 eV/f.u.

Unit cell a=7.930 b=7.930 c=7.930 alpha=90.00 beta=90.00 gamma=90.00
Space group F-43m (No. 216)
Unique sites:
Ac 0.000 0.000 0.000 [4 per cell]
Pm 0.250 0.250 0.750 [4 per cell]
Er 0.250 0.250 0.250 [4 per cell]
Hg 0.000 0.000 0.500 [4 per cell]

***

2.
Computed, not measured: an optimized crystal structure of GdHoPu at the PBE level of DFT.

Calculated values
Excess energy over the best structure of this formula in the dataset = 58.0 meV per atom
Formation enthalpy at 0 K = 0.5 eV/f.u.

Unit cell a=5.5986 b=5.5986 c=3.2736 alpha=90.00 beta=90.00 gamma=120.00
Space group P-6m2 (No. 187)
Unique sites:
Gd 0.0000 0.0000 0.0000 [1 per cell]
Ho 0.6667 0.3333 0.0000 [1 per cell]
Pu 0.3333 0.6667 0.5000 [1 per cell]

***

3.
Computed, not measured: an optimized crystal structure of PmZn2BIr2 at the PBE level of DFT.

Calculated values
Formation enthalpy at 0 K = -3.2 eV/f.u.

Unit cell a=4.153 b=4.153 c=5.674 alpha=90.00 beta=90.00 gamma=90.00
Space group P4/mmm (No. 123)
Unique sites:
Pm 0.000 0.000 0.000 [1 per cell]
Zn 0.500 0.500 0.216 [2 per cell]
B 0.000 0.000 0.500 [1 per cell]
Ir 0.000 0.500 0.500 [2 per cell]

***

4.
Computed, not measured: an optimized crystal structure of LaDyErTe3 at the PBE level of DFT.

Calculated values
Electronic total energy = -62.3 eV for the cell shown

Unit cell a=8.606 b=4.340 c=10.800 alpha=90.00 beta=106.19 gamma=90.00
Space group P2_1/m (No. 11)
Unique sites:
La 0.188 0.250 0.218 [2 per cell]
Dy 0.337 0.750 0.907 [2 per cell]
Er 0.153 0.250 0.623 [2 per cell]
Te 0.091 0.250 0.893 [2 per cell]
Te 0.223 0.750 0.455 [2 per cell]
Te 0.484 0.750 0.205 [2 per cell]

***

5.
Computed, not measured: an optimized crystal structure of NbAlCo2Pb at the PBE level of DFT.

Calculated values
Formation enthalpy at 0 K = 5.6 eV/f.u.

Unit cell a=4.280 b=4.280 c=5.083 alpha=90.00 beta=90.00 gamma=90.00
Space group P4/mmm (No. 123)
Unique sites:
Nb 0.000 0.000 0.000 [1 per cell]
Al 0.500 0.500 0.500 [1 per cell]
Co 0.000 0.500 0.500 [2 per cell]
Pb 0.500 0.500 0.000 [1 per cell]

***

6.
Computed, not measured: an optimized crystal structure of HfTaFeRe at the PBE level of DFT.

Calculated values
Excess energy over the best structure of this formula in the dataset = 0.0 meV per atom
Formation enthalpy at 0 K = -1.3 eV/f.u.

Unit cell a=3.183 b=3.183 c=6.333 alpha=90.00 beta=90.00 gamma=90.00
Space group P4mm (No. 99)
Unique sites:
Hf 0.000 0.000 0.000 [1 per cell]
Ta 0.000 0.000 0.512 [1 per cell]
Fe 0.500 0.500 0.749 [1 per cell]
Re 0.500 0.500 0.268 [1 per cell]

***

| no. | M_tot (μB per cell) |
| --- | --- |
| 1 | 0.0 |
| 2 | 1.6 |
| 3 | 0.0 |
| 4 | 0.0 |
| 5 | 1.3 |
| 6 | 0.2 |